VASP calculation (PBE) on a geometry-optimized CdIrPb3 structure.

a b c (Å): 5.361 5.361 5.361
angles (deg): 90.00 90.00 90.00
Element x y z (fractional)
Cd (0.000, 0.000, 0.000)
Ir (0.500, 0.500, 0.500)
Pb (0.000, 0.500, 0.500)
Pb (0.500, 0.000, 0.500)
Pb (0.500, 0.500, 0.000)

Properties
ΔE_f	145	kJ/mol of formula units
M_tot	0.0	μB per cell
E above lowest polymorph	0	meV per atom
energy	-3.879	eV per atom